First-principles (PBE) data for ScNbCoBi after structural relaxation, as listed in OQMD via LeMat-Bulk.

Cell: 4.7174 4.7174 4.7174 Å, 60.00 60.00 60.00°
Last column: nearest neighbours and their distance in Å.
Positions (direct):
1 Bi 0.0000 0.0000 0.0000  4 Co 2.89, 4 Nb 2.89
2 Co 0.7500 0.7500 0.7500  4 Bi 2.89, 4 Sc 2.89
3 Nb 0.2500 0.2500 0.2500  4 Sc 2.89, 4 Bi 2.89
4 Sc 0.5000 0.5000 0.5000  4 Co 2.89, 4 Nb 2.89

The calculation puts the volume at 18.56 Å³/atom. The space-group type is F-43m. The final energy is -6.58 eV/atom. The excess energy over the best structure of this formula in the dataset is 0.00 eV/f.u. The calculation puts the magnetization at 1.97 μB/f.u.